w | Entry from Alexandria: a geometry-optimized YMoH2 structure (PBE).

Computed properties:
The spin magnetization comes out at 0.0 Bohr magnetons per cell. Its space group is I-42d, No. 122.

Structure (extended XYZ):
```
8
Lattice="-2.578 2.578 3.608 2.578 -2.578 3.608 2.578 2.578 -3.608" Properties=species:S:1:pos:R:3 pbc="T T T"
Y 0.000 0.000 0.000
Y 0.000 2.578 1.804
Mo 2.578 0.000 1.804
Mo 0.000 0.000 3.608
H 1.289 1.580 -0.902
H 3.576 1.289 0.902
H 1.289 0.998 2.706
H -0.998 1.289 4.510
```


x | Entry from Alexandria: a geometry-optimized YMoH2 structure (PBE).

Computed properties:
The spin magnetization comes out at 0.0 Bohr magnetons per cell. Its space group is Fm-3m, No. 225.

Structure (extended XYZ):
```
4
Lattice="0.000 2.896 2.896 2.896 0.000 2.896 2.896 2.896 0.000" Properties=species:S:1:pos:R:3 pbc="T T T"
Y 0.000 0.000 0.000
Mo 2.896 2.896 2.896
H 1.448 1.448 1.448
H 4.345 4.345 4.345
```


Stability check: which of them is least stable? x.


w | Entry from Alexandria: a geometry-optimized YMo3H structure (PBE).

Computed properties:
The spin magnetization comes out at 0.0 Bohr magnetons per cell. Its space group is Pm-3m, No. 221.

Structure (extended XYZ):
```
5
Lattice="4.847 0.000 0.000 0.000 4.847 0.000 0.000 0.000 4.847" Properties=species:S:1:pos:R:3 pbc="T T T"
Y 0.000 0.000 0.000
Mo 0.000 0.000 2.424
Mo 0.000 2.424 0.000
Mo 2.424 0.000 0.000
H 2.424 2.424 2.424
```


x | Entry from Alexandria: a geometry-optimized YMo3H structure (PBE).

Computed properties:
The spin magnetization comes out at 0.0 Bohr magnetons per cell. Its space group is Pm-3m, No. 221.

Structure (extended XYZ):
```
5
Lattice="4.243 0.000 0.000 0.000 4.243 0.000 0.000 0.000 4.243" Properties=species:S:1:pos:R:3 pbc="T T T"
Y 0.000 0.000 0.000
Mo 0.000 2.121 2.121
Mo 2.121 0.000 2.121
Mo 2.121 2.121 0.000
H 2.121 2.121 2.121
```


Stability check: which of them is least stable? w.


w | Entry from Alexandria: a geometry-optimized YMo2H structure (PBE).

Computed properties:
The spin magnetization comes out at 0.0 Bohr magnetons per cell. Its space group is Fm-3m, No. 225.

Structure (extended XYZ):
```
4
Lattice="0.000 3.191 3.191 3.191 0.000 3.191 3.191 3.191 0.000" Properties=species:S:1:pos:R:3 pbc="T T T"
Y 0.000 0.000 0.000
Mo 1.596 1.596 1.596
Mo 4.787 4.787 4.787
H 3.191 3.191 3.191
```


x | Entry from Alexandria: a geometry-optimized YMo2H structure (PBE).

Computed properties:
The spin magnetization comes out at 0.0 Bohr magnetons per cell. Its space group is I4_1/amd, No. 141.

Structure (extended XYZ):
```
8
Lattice="-2.865 2.865 4.044 2.865 -2.865 4.044 2.865 2.865 -4.044" Properties=species:S:1:pos:R:3 pbc="T T T"
Y 2.865 1.433 1.011
Y 0.000 1.433 3.033
Mo 0.000 0.000 0.000
Mo 1.433 1.433 -2.022
Mo 1.433 -1.433 2.022
Mo 0.000 2.865 0.000
H 2.865 -1.433 3.033
H 0.000 4.298 1.011
```


Stability check: which of them is least stable? w.


w | Entry from Alexandria: a geometry-optimized YMoH3 structure (PBE).

Computed properties:
The spin magnetization comes out at 0.0 Bohr magnetons per cell. Its space group is Pm-3m, No. 221.

Structure (extended XYZ):
```
5
Lattice="3.688 0.000 0.000 0.000 3.688 0.000 0.000 0.000 3.688" Properties=species:S:1:pos:R:3 pbc="T T T"
Y 0.000 0.000 0.000
Mo 1.844 1.844 1.844
H 0.000 1.844 1.844
H 1.844 0.000 1.844
H 1.844 1.844 0.000
```


x | Entry from Alexandria: a geometry-optimized YMoH3 structure (PBE).

Computed properties:
The spin magnetization comes out at 0.8 Bohr magnetons per cell. Its space group is Pm-3m, No. 221.

Structure (extended XYZ):
```
5
Lattice="3.848 0.000 0.000 0.000 3.848 0.000 0.000 0.000 3.848" Properties=species:S:1:pos:R:3 pbc="T T T"
Y 0.000 0.000 0.000
Mo 1.924 1.924 1.924
H 0.000 0.000 1.924
H 0.000 1.924 0.000
H 1.924 0.000 0.000
```


Stability check: which of them is least stable? x.


w | Entry from Alexandria: a geometry-optimized ZnMoH2 structure (PBE).

Computed properties:
The spin magnetization comes out at 0.0 Bohr magnetons per cell. Its space group is I-42d, No. 122.

Structure (extended XYZ):
```
8
Lattice="-2.173 2.173 4.034 2.173 -2.173 4.034 2.173 2.173 -4.034" Properties=species:S:1:pos:R:3 pbc="T T T"
Zn 0.000 0.000 0.000
Zn 0.000 2.173 2.017
Mo 2.173 0.000 2.017
Mo 0.000 0.000 4.034
H 1.086 -1.052 3.026
H 1.121 1.086 1.009
H 1.086 3.225 -1.009
H 1.052 1.086 5.043
```


x | Entry from Alexandria: a geometry-optimized ZnMoH2 structure (PBE).

Computed properties:
The spin magnetization comes out at 0.0 Bohr magnetons per cell. Its space group is R-3m, No. 166.

Structure (extended XYZ):
```
4
Lattice="1.377 0.795 6.441 -1.377 0.795 6.441 0.000 -1.590 6.441" Properties=species:S:1:pos:R:3 pbc="T T T"
Zn 0.000 0.000 0.000
Mo 0.000 0.000 9.662
H 0.000 0.000 2.105
H 0.000 0.000 17.219
```


Stability check: which of them is least stable? w.


w | Entry from Alexandria: a geometry-optimized ZnMoH2 structure (PBE).

Computed properties:
The spin magnetization comes out at 0.0 Bohr magnetons per cell. Its space group is R3m, No. 160.

Structure (extended XYZ):
```
4
Lattice="1.496 0.864 4.969 -1.496 0.864 4.969 0.000 -1.727 4.969" Properties=species:S:1:pos:R:3 pbc="T T T"
Zn 0.000 0.000 0.000
Mo 0.000 0.000 2.695
H 0.000 0.000 8.423
H 0.000 0.000 11.746
```


x | Entry from Alexandria: a geometry-optimized ZnMoH2 structure (PBE).

Computed properties:
The spin magnetization comes out at 1.3 Bohr magnetons per cell. Its space group is Fm-3m, No. 225.

Structure (extended XYZ):
```
4
Lattice="0.000 2.618 2.618 2.618 0.000 2.618 2.618 2.618 0.000" Properties=species:S:1:pos:R:3 pbc="T T T"
Zn 0.000 0.000 0.000
Mo 2.618 2.618 2.618
H 1.309 1.309 1.309
H 3.927 3.927 3.927
```


Stability check: which of them is least stable? x.


w | Entry from Alexandria: a geometry-optimized Zr3MoH structure (PBE).

Computed properties:
The spin magnetization comes out at 0.0 Bohr magnetons per cell. Its space group is Pm-3m, No. 221.

Structure (extended XYZ):
```
5
Lattice="4.416 0.000 0.000 0.000 4.416 0.000 0.000 0.000 4.416" Properties=species:S:1:pos:R:3 pbc="T T T"
Zr 0.000 0.000 2.208
Zr 0.000 2.208 0.000
Zr 2.208 0.000 0.000
Mo 2.208 2.208 2.208
H 0.000 0.000 0.000
```


x | Entry from Alexandria: a geometry-optimized Zr3MoH structure (PBE).

Computed properties:
The spin magnetization comes out at 0.0 Bohr magnetons per cell. Its space group is Pm-3m, No. 221.

Structure (extended XYZ):
```
5
Lattice="5.074 0.000 0.000 0.000 5.074 0.000 0.000 0.000 5.074" Properties=species:S:1:pos:R:3 pbc="T T T"
Zr 0.000 0.000 2.537
Zr 0.000 2.537 0.000
Zr 2.537 0.000 0.000
Mo 0.000 0.000 0.000
H 2.537 2.537 2.537
```


Stability check: which of them is least stable? x.


w | Entry from Alexandria: a geometry-optimized ZrMoH3 structure (PBE).

Computed properties:
The spin magnetization comes out at 0.0 Bohr magnetons per cell. Its space group is Pm-3m, No. 221.

Structure (extended XYZ):
```
5
Lattice="3.656 0.000 0.000 0.000 3.656 0.000 0.000 0.000 3.656" Properties=species:S:1:pos:R:3 pbc="T T T"
Zr 0.000 0.000 0.000
Mo 1.828 1.828 1.828
H 0.000 0.000 1.828
H 0.000 1.828 0.000
H 1.828 0.000 0.000
```


x | Entry from Alexandria: a geometry-optimized ZrMoH3 structure (PBE).

Computed properties:
The spin magnetization comes out at 0.0 Bohr magnetons per cell. Its space group is C2/c, No. 15.

Structure (extended XYZ):
```
20
Lattice="3.860 -4.566 0.000 3.860 4.566 0.000 -1.721 0.000 5.377" Properties=species:S:1:pos:R:3 pbc="T T T"
Zr 2.569 3.638 4.033
Zr 3.430 1.574 1.344
Zr 2.569 -1.574 4.033
Zr 3.430 -3.638 1.344
Mo 1.262 1.068 3.641
Mo 2.122 -1.068 0.952
Mo 3.877 1.068 4.425
Mo 4.738 -1.068 1.736
H 2.731 3.568 1.992
H 0.995 2.446 4.770
H 4.129 3.568 0.696
H 0.505 0.489 5.283
H 1.365 -0.489 2.595
H 4.144 2.446 3.296
H 1.856 -2.446 2.081
H 4.634 0.489 2.782
H 5.494 -0.489 0.094
H 1.870 -3.568 4.681
H 5.004 -2.446 0.607
H 3.268 -3.568 3.385
```


Stability check: which of them is least stable? w.


w | Entry from Alexandria: a geometry-optimized Zr2MoH6 structure (PBE).

Computed properties:
The spin magnetization comes out at 0.0 Bohr magnetons per cell. Its space group is C2/m, No. 12.

Structure (extended XYZ):
```
9
Lattice="4.126 -2.299 0.000 4.126 2.299 0.000 -2.932 0.000 4.190" Properties=species:S:1:pos:R:3 pbc="T T T"
Zr 1.282 0.000 0.980
Zr 4.038 0.000 3.210
Mo -1.466 0.000 2.095
H 3.283 1.114 0.832
H 0.172 0.000 2.906
H 2.037 1.114 3.359
H 3.283 -1.114 0.832
H 5.149 0.000 1.285
H 2.037 -1.114 3.359
```


x | Entry from Alexandria: a geometry-optimized Zr2MoH6 structure (PBE).

Computed properties:
The spin magnetization comes out at 0.0 Bohr magnetons per cell. Its space group is C2/m, No. 12.

Structure (extended XYZ):
```
9
Lattice="5.259 -2.302 0.000 5.259 2.302 0.000 -1.028 0.000 3.137" Properties=species:S:1:pos:R:3 pbc="T T T"
Zr 1.539 0.000 0.509
Zr 7.950 0.000 2.628
Mo 4.745 0.000 1.569
H 3.226 1.075 1.067
H 5.259 1.020 0.000
H 6.263 1.075 2.071
H 3.226 -1.075 1.067
H 5.259 -1.020 0.000
H 6.263 -1.075 2.071
```


Stability check: which of them is least stable? w.


w | Entry from Alexandria: a geometry-optimized NaH2N2 structure (PBE).

Computed properties:
The spin magnetization comes out at 1.0 Bohr magnetons per cell. Its space group is I4/mmm, No. 139.

Structure (extended XYZ):
```
5
Lattice="-2.617 2.617 2.930 2.617 -2.617 2.930 2.617 2.617 -2.930" Properties=species:S:1:pos:R:3 pbc="T T T"
Na 0.000 0.000 0.000
H 2.617 0.000 1.465
H 0.000 2.617 1.465
N 0.000 0.000 2.372
N 0.000 0.000 3.487
```


x | Entry from Alexandria: a geometry-optimized NaH2N2 structure (PBE).

Computed properties:
The spin magnetization comes out at 2.0 Bohr magnetons per cell. Its space group is P4/mbm, No. 127.

Structure (extended XYZ):
```
10
Lattice="6.023 0.000 0.000 0.000 6.023 0.000 0.000 0.000 4.025" Properties=species:S:1:pos:R:3 pbc="T T T"
Na 0.000 0.000 0.000
Na 3.012 3.012 0.000
H 1.446 1.565 2.012
H 1.565 4.577 2.012
H 4.458 1.446 2.012
H 4.577 4.458 2.012
N 0.396 2.615 0.000
N 2.615 5.627 0.000
N 3.408 0.396 0.000
N 5.627 3.408 0.000
```


Stability check: which of them is least stable? x.


w | Entry from Alexandria: a geometry-optimized Na2H6N3 structure (PBE).

Computed properties:
The spin magnetization comes out at 0.0 Bohr magnetons per cell. Its space group is P-62m, No. 189.

Structure (extended XYZ):
```
11
Lattice="5.949 0.000 0.000 -2.975 5.152 0.000 0.000 0.000 2.583" Properties=species:S:1:pos:R:3 pbc="T T T"
Na 0.000 3.435 0.000
Na 2.975 1.717 0.000
H -0.482 0.834 1.291
H -2.163 3.746 0.000
H 0.963 0.000 1.291
H 0.812 1.406 0.000
H 4.326 0.000 0.000
H 2.493 4.318 1.291
N -2.212 3.832 1.291
N 0.762 1.320 1.291
N 4.425 0.000 1.291
```


x | Entry from Alexandria: a geometry-optimized Na2H6N3 structure (PBE).

Computed properties:
The spin magnetization comes out at 2.0 Bohr magnetons per cell. Its space group is C2/c, No. 15.

Structure (extended XYZ):
```
22
Lattice="5.389 -3.522 0.000 5.389 3.522 0.000 -4.104 0.000 6.515" Properties=species:S:1:pos:R:3 pbc="T T T"
Na 0.730 0.564 2.276
Na -1.322 -0.564 5.533
Na 7.996 0.564 0.981
Na 5.944 -0.564 4.239
H 4.573 2.046 0.849
H 4.153 2.046 2.408
H 3.216 0.407 1.440
H 1.205 0.825 5.710
H 3.417 0.825 4.062
H 1.164 -0.407 4.697
H 5.510 0.407 1.818
H 3.257 -0.825 2.453
H 5.469 -0.825 0.804
H 3.458 -0.407 5.075
H 2.521 -2.046 4.107
H 2.101 -2.046 5.666
N 4.363 2.682 1.629
N 0.903 0.590 4.755
N 2.955 -0.590 1.498
N 3.720 0.590 5.017
N 5.772 -0.590 1.760
N 2.311 -2.682 4.886
```


Stability check: which of them is least stable? w.


w | Entry from Alexandria: a geometry-optimized NaHSe2N structure (PBE).

Computed properties:
The spin magnetization comes out at 1.0 Bohr magnetons per cell. Its space group is P4/mmm, No. 123.

Structure (extended XYZ):
```
5
Lattice="5.579 0.000 0.000 0.000 5.579 0.000 0.000 0.000 4.798" Properties=species:S:1:pos:R:3 pbc="T T T"
Na 0.000 0.000 0.000
H 2.789 2.789 2.399
Se 0.000 2.789 0.000
Se 2.789 0.000 0.000
N 0.000 0.000 2.399
```


x | Entry from Alexandria: a geometry-optimized NaHSe2N structure (PBE).

Computed properties:
The spin magnetization comes out at 0.4 Bohr magnetons per cell. Its space group is P4/mmm, No. 123.

Structure (extended XYZ):
```
5
Lattice="5.288 0.000 0.000 0.000 5.288 0.000 0.000 0.000 2.677" Properties=species:S:1:pos:R:3 pbc="T T T"
Na 0.000 0.000 0.000
H 2.644 2.644 1.338
Se 0.000 2.644 1.338
Se 2.644 0.000 1.338
N 2.644 2.644 0.000
```


Stability check: which of them is least stable? w.